Computed, not measured: an optimized crystal structure of Rb2SnCI6 at the PBE-GGA level of DFT.

Values from the calculation:
DFT total energy = -26.9 eV/cell
space group = I4/mmm (139)
formation energy (no corrections) = -0.25 eV per atom

POSCAR file:
```
Rb2SnCI6
1.0
8.192 0.000 0.000
0.000 8.192 0.000
4.096 4.096 5.776
Rb I Sn C
2 6 1 1
Direct
0.750 0.250 0.500
0.250 0.750 0.500
0.733 0.733 0.000
0.733 0.267 0.000
0.267 0.733 0.000
0.267 0.267 0.467
0.733 0.733 0.533
0.267 0.267 0.000
0.000 0.000 0.000
0.500 0.500 0.000
```